Record 1
Below is crystalline Cs2SrLi2F6 at its relaxed geometry, with properties calculated at the PBE-GGA level.

abc: 6.3792 6.3792 7.0803
angles: 114.27 114.27 59.73
Fractional positions:
1 Cs 0.2133 0.2133 0.1719
2 Cs 0.7867 0.7867 0.8281
3 Sr 0.0000 0.0000 0.5000
4 Li 0.4309 0.4309 0.7499
5 Li 0.5691 0.5691 0.2501
6 F 0.2355 0.7195 0.2315
7 F 0.2484 0.2484 0.6585
8 F 0.2805 0.7645 0.7685
9 F 0.7195 0.2355 0.2315
10 F 0.7516 0.7516 0.3415
11 F 0.7645 0.2805 0.7685

Summary:
Size of the total moment, μB per atom: 0.030
Calculated total energy, eV per cell: -52.3


Record 2
Below is crystalline CaLa2CoTe at its relaxed geometry, with properties calculated at the PBE-GGA level.

abc: 5.1212 5.1212 5.6669
angles: 90.00 90.00 90.00
Fractional positions:
1 Ca 0.0000 0.0000 0.0000
2 La 0.0000 0.5000 0.5000
3 La 0.5000 0.0000 0.5000
4 Co 0.0000 0.0000 0.5000
5 Te 0.5000 0.5000 0.0000

Summary:
Size of the total moment, μB per atom: 0.000
Calculated total energy, eV per cell: -25.0


Record 3
Below is crystalline ReRh at its relaxed geometry, with properties calculated at the PBE-GGA level.

abc: 3.9321 3.9321 3.9321
angles: 60.00 60.00 60.00
Fractional positions:
1 Re 0.0000 0.0000 0.0000
2 Rh 0.2500 0.2500 0.2500

Summary:
Energy of formation, eV per atom: 1.360
Size of the total moment, μB per atom: 0.000
E above lowest polymorph, meV per atom: 1537


Record 4
Below is crystalline AsSeS at its relaxed geometry, with properties calculated at the PBE-GGA level.

abc: 6.4932 6.4932 6.5391
angles: 95.68 95.68 40.17
Fractional positions:
1 As 0.1372 0.1372 0.4563
2 As 0.8628 0.8628 0.5437
3 Se 0.0530 0.0530 0.7639
4 Se 0.9470 0.9470 0.2361
5 S 0.3252 0.3252 0.6679
6 S 0.6748 0.6748 0.3321

Summary:
Size of the total moment, μB per atom: 0.000
E above lowest polymorph, meV per atom: 159


Record 5
Below is crystalline Tl2Sn3Te4 at its relaxed geometry, with properties calculated at the PBE-GGA level.

abc: 7.7878 7.7878 10.7022
angles: 114.38 114.38 34.24
Fractional positions:
1 Tl 0.0934 0.0934 0.4275
2 Tl 0.9066 0.9066 0.5725
3 Sn 0.2756 0.2756 0.1878
4 Sn 0.5000 0.5000 0.0000
5 Sn 0.7244 0.7244 0.8122
6 Te 0.1099 0.1099 0.9078
7 Te 0.3194 0.3194 0.7034
8 Te 0.6806 0.6806 0.2966
9 Te 0.8901 0.8901 0.0922

Summary:
Size of the total moment, μB per atom: 0.000
E above lowest polymorph, meV per atom: 0


Record 6
Below is crystalline Rb2ReRh2 at its relaxed geometry, with properties calculated at the PBE-GGA level.

abc: 9.2997 9.2997 2.7520
angles: 90.00 90.00 90.00
Fractional positions:
1 Rb 0.1193 0.3807 0.0000
2 Rb 0.3807 0.8807 0.0000
3 Rb 0.6193 0.1193 0.0000
4 Rb 0.8807 0.6193 0.0000
5 Re 0.0000 0.0000 0.0000
6 Re 0.5000 0.5000 0.0000
7 Rh 0.1864 0.6864 0.5000
8 Rh 0.3136 0.1864 0.5000
9 Rh 0.6864 0.8136 0.5000
10 Rh 0.8136 0.3136 0.5000

Summary:
Energy of formation, eV per atom: 1.872
Size of the total moment, μB per atom: 0.782
E above lowest polymorph, meV per atom: 349


Record 7
Below is crystalline Li2H4Ru at its relaxed geometry, with properties calculated at the PBE-GGA level.

abc: 5.5970 5.5970 5.5970
angles: 144.77 144.77 50.68
Fractional positions:
1 Li 0.1456 0.1456 0.0000
2 Li 0.8544 0.8544 0.0000
3 H 0.0000 0.5000 0.5000
4 H 0.3310 0.3310 0.0000
5 H 0.5000 0.0000 0.5000
6 H 0.6690 0.6690 0.0000
7 Ru 0.5000 0.5000 0.0000

Summary:
Size of the total moment, μB per atom: 0.000
E above lowest polymorph, meV per atom: 0


Record 8
Below is crystalline La2Pm5SmSc at its relaxed geometry, with properties calculated at the PBE-GGA level.

abc: 11.3742 11.3742 10.2162
angles: 90.00 90.00 152.08
Fractional positions:
1 La 0.1174 0.8826 0.5077
2 La 0.1174 0.8826 0.9923
3 La 0.8826 0.1174 0.0077
4 La 0.8826 0.1174 0.4923
5 Pm 0.0000 0.0000 0.2500
6 Pm 0.0000 0.0000 0.7500
7 Pm 0.2766 0.7234 0.5624
8 Pm 0.2766 0.7234 0.9376
9 Pm 0.3732 0.6268 0.2500
10 Pm 0.5000 0.5000 0.0000
11 Pm 0.5000 0.5000 0.5000
12 Pm 0.6268 0.3732 0.7500
13 Pm 0.7234 0.2766 0.0624
14 Pm 0.7234 0.2766 0.4376
15 Sm 0.3973 0.6027 0.7500
16 Sm 0.6027 0.3973 0.2500
17 Sc 0.2147 0.7853 0.2500
18 Sc 0.7853 0.2147 0.7500

Summary:
Energy of formation, eV per atom: 0.117
Size of the total moment, μB per atom: 0.000


Record 9
Below is crystalline In5GaBi at its relaxed geometry, with properties calculated at the PBE-GGA level.

abc: 4.6874 4.6874 8.9051
angles: 90.00 90.00 90.00
Fractional positions:
1 In 0.0000 0.0000 0.0000
2 In 0.0000 0.5000 0.2932
3 In 0.0000 0.5000 0.7068
4 In 0.5000 0.0000 0.2932
5 In 0.5000 0.0000 0.7068
6 Ga 0.5000 0.5000 0.5000
7 Bi 0.5000 0.5000 0.0000

Summary:
Energy of formation, eV per atom: 0.061
Size of the total moment, μB per atom: 0.000


Record 10
Below is crystalline AsOsW at its relaxed geometry, with properties calculated at the PBE-GGA level.

abc: 4.6213 4.6213 4.6213
angles: 143.19 127.31 66.00
Fractional positions:
1 As 0.0000 0.0000 0.0000
2 Os 0.3255 0.3255 0.0000
3 W 0.6717 0.6717 0.0000

Summary:
Energy of formation, eV per atom: 0.370
Size of the total moment, μB per atom: 0.000
E above lowest polymorph, meV per atom: 164


Record 11
Below is crystalline TaMn3Cu at its relaxed geometry, with properties calculated at the PBE-GGA level.

abc: 4.3796 4.3796 4.3796
angles: 90.00 90.00 90.00
Fractional positions:
1 Ta 0.0000 0.0000 0.0000
2 Mn 0.0000 0.5000 0.5000
3 Mn 0.5000 0.0000 0.5000
4 Mn 0.5000 0.5000 0.0000
5 Cu 0.5000 0.5000 0.5000

Summary:
Energy of formation, eV per atom: 1.112
Size of the total moment, μB per atom: 1.641
E above lowest polymorph, meV per atom: 0


Record 12
Below is crystalline La8Fe2Co at its relaxed geometry, with properties calculated at the PBE-GGA level.

abc: 4.0785 7.7397 10.7279
angles: 86.85 87.25 84.45
Fractional positions:
1 La 0.0213 0.2340 0.4902
2 La 0.1377 0.7101 0.0048
3 La 0.4368 0.4677 0.7276
4 La 0.4740 0.9476 0.7686
5 La 0.5260 0.0524 0.2314
6 La 0.5632 0.5323 0.2724
7 La 0.8623 0.2899 0.9952
8 La 0.9787 0.7660 0.5098
9 Fe 0.1188 0.3362 0.1866
10 Fe 0.8812 0.6638 0.8134
11 Co 0.5000 0.0000 0.5000

Summary:
Energy of formation, eV per atom: 0.011
Size of the total moment, μB per atom: 0.000


Record 13
Below is crystalline CaSc2Ir at its relaxed geometry, with properties calculated at the PBE-GGA level.

abc: 5.6998 5.6998 5.6998
angles: 137.26 137.26 62.04
Fractional positions:
1 Ca 0.0000 0.0000 0.0000
2 Sc 0.5000 0.5000 0.0000
3 Sc 0.7500 0.2500 0.5000
4 Ir 0.2500 0.7500 0.5000

Summary:
Energy of formation, eV per atom: -0.081
Size of the total moment, μB per atom: 0.000


Record 14
Below is crystalline MnIn2Ru at its relaxed geometry, with properties calculated at the PBE-GGA level.

abc: 5.5276 5.5276 5.5276
angles: 145.31 131.60 60.91
Fractional positions:
1 Mn 0.0000 0.0000 0.0000
2 In 0.4623 0.4623 0.0000
3 In 0.7389 0.2389 0.5000
4 Ru 0.2141 0.7141 0.5000

Summary:
Energy of formation, eV per atom: 0.150
Size of the total moment, μB per atom: 0.989
E above lowest polymorph, meV per atom: 22


Record 15
Below is crystalline TaFe2As at its relaxed geometry, with properties calculated at the PBE-GGA level.

abc: 5.3615 5.3615 5.3615
angles: 104.36 104.36 120.26
Fractional positions:
1 Ta 0.0000 0.0000 0.0000
2 Ta 0.7500 0.2500 0.5000
3 Fe 0.1602 0.6250 0.0352
4 Fe 0.3750 0.4102 0.5352
5 Fe 0.5898 0.1250 0.9648
6 Fe 0.8750 0.8398 0.4648
7 As 0.2500 0.7500 0.5000
8 As 0.5000 0.5000 0.0000

Summary:
Energy of formation, eV per atom: 0.429
Size of the total moment, μB per atom: 0.000


Record 16
Below is crystalline TcAs2P at its relaxed geometry, with properties calculated at the PBE-GGA level.

abc: 3.1522 4.2432 4.7638
angles: 90.00 90.00 90.00
Fractional positions:
1 Tc 0.0000 0.0000 0.0000
2 As 0.0000 0.5000 0.5000
3 As 0.5000 0.0000 0.5000
4 P 0.5000 0.5000 0.0000

Summary:
Energy of formation, eV per atom: 0.491
Size of the total moment, μB per atom: 0.000


Record 17
Below is crystalline Mg7Fe at its relaxed geometry, with properties calculated at the PBE-GGA level.

abc: 6.1954 6.1954 4.9367
angles: 90.00 90.00 120.00
Fractional positions:
1 Mg 0.0000 0.0000 0.0000
2 Mg 0.1670 0.3340 0.5000
3 Mg 0.1670 0.8330 0.5000
4 Mg 0.5081 0.0162 0.0000
5 Mg 0.5081 0.4919 0.0000
6 Mg 0.6660 0.8330 0.5000
7 Mg 0.9838 0.4919 0.0000
8 Fe 0.6667 0.3333 0.5000

Summary:
Energy of formation, eV per atom: 0.135
Size of the total moment, μB per atom: 0.301


Record 18
Below is crystalline Ac4Pm at its relaxed geometry, with properties calculated at the PBE-GGA level.

abc: 6.8064 6.8064 6.8064
angles: 99.60 99.60 131.80
Fractional positions:
1 Ac 0.1018 0.7026 0.8044
2 Ac 0.2974 0.1018 0.3991
3 Ac 0.7026 0.8982 0.6009
4 Ac 0.8982 0.2974 0.1956
5 Pm 0.5000 0.5000 0.0000

Summary:
Energy of formation, eV per atom: 0.036
Size of the total moment, μB per atom: 0.000
E above lowest polymorph, meV per atom: 9


Record 19
Below is crystalline PmMgSb2Pd4 at its relaxed geometry, with properties calculated at the PBE-GGA level.

abc: 8.9214 8.9214 8.9214
angles: 29.85 29.85 29.85
Fractional positions:
1 Pm 0.0000 0.0000 0.0000
2 Mg 0.5000 0.5000 0.5000
3 Sb 0.2474 0.2474 0.2474
4 Sb 0.7526 0.7526 0.7526
5 Pd 0.1373 0.1373 0.1373
6 Pd 0.3978 0.3978 0.3978
7 Pd 0.6022 0.6022 0.6022
8 Pd 0.8627 0.8627 0.8627

Summary:
Size of the total moment, μB per atom: 0.000
Calculated total energy, eV per cell: -41.1


Record 20
Below is crystalline Ca3HgGe2Au6 at its relaxed geometry, with properties calculated at the PBE-GGA level.

abc: 5.8520 5.8520 9.6336
angles: 90.00 90.00 120.00
Fractional positions:
1 Ca 0.0000 0.0000 0.0000
2 Ca 0.3333 0.6667 0.6033
3 Ca 0.6667 0.3333 0.3967
4 Hg 0.0000 0.0000 0.5000
5 Ge 0.3333 0.6667 0.0525
6 Ge 0.6667 0.3333 0.9475
7 Au 0.1686 0.3372 0.2665
8 Au 0.1686 0.8314 0.2665
9 Au 0.3372 0.1686 0.7335
10 Au 0.6628 0.8314 0.2665
11 Au 0.8314 0.1686 0.7335
12 Au 0.8314 0.6628 0.7335

Summary:
Energy of formation, eV per atom: -0.382
Size of the total moment, μB per atom: 0.000